CeDyTiIn | GGA-PBE | optimized geometry

Summary:
The density of states at the Fermi level comes out at 1.621 states/eV per atom. The electronic total energy comes out at -5.33 eV/atom. Its theoretical density is 7.4 Mg/m³.

Cell lengths 7.485, 7.485, 7.485 Å; angles 90.00, 90.00, 90.00 degrees
Element x y z (fractional)
Ce (0.000, 0.000, 0.000)
Ce (0.000, 0.500, 0.500)
Ce (0.500, 0.000, 0.500)
Ce (0.500, 0.500, 0.000)
Dy (0.000, 0.000, 0.500)
Dy (0.000, 0.500, 0.000)
Dy (0.500, 0.000, 0.000)
Dy (0.500, 0.500, 0.500)
Ti (0.250, 0.250, 0.250)
Ti (0.250, 0.750, 0.750)
Ti (0.750, 0.250, 0.750)
Ti (0.750, 0.750, 0.250)
In (0.250, 0.250, 0.750)
In (0.250, 0.750, 0.250)
In (0.750, 0.250, 0.250)
In (0.750, 0.750, 0.750)


NbFeBRu2 | GGA-PBE | optimized geometry

Summary:
The density of states at the Fermi level comes out at 0.439 states/eV per atom. The electronic total energy comes out at -8.96 eV/atom. Its theoretical density is 9.4 Mg/m³.

Cell lengths 4.063, 4.063, 3.886 Å; angles 90.00, 90.00, 90.00 degrees
Element x y z (fractional)
Nb (0.000, 0.000, 0.000)
Fe (0.500, 0.500, 0.000)
B (0.500, 0.500, 0.500)
Ru (0.000, 0.500, 0.500)
Ru (0.500, 0.000, 0.500)


Sr2YAg | GGA-PBE | optimized geometry

Summary:
The density of states at the Fermi level comes out at 1.193 states/eV per atom. Its theoretical density is 4.1 Mg/m³. The energy above the most stable polymorph in this dataset is 0.000 eV per atom.

Cell lengths 3.851, 3.851, 10.044 Å; angles 90.00, 90.00, 90.00 degrees
Element x y z (fractional)
Sr (0.000, 0.000, 0.000)
Sr (0.500, 0.500, 0.347)
Y (0.000, 0.000, 0.637)
Ag (0.500, 0.500, 0.783)


CrC2 | GGA-PBE | optimized geometry

Summary:
The density of states at the Fermi level comes out at 0.601 states/eV per atom. Its theoretical density is 5.9 Mg/m³. The energy above the most stable polymorph in this dataset is 0.027 eV per atom.

Cell lengths 2.580, 2.580, 11.210 Å; angles 90.00, 90.00, 120.00 degrees
Element x y z (fractional)
Cr (0.000, 0.000, 0.000)
Cr (0.333, 0.667, 0.667)
Cr (0.667, 0.333, 0.333)
C (0.000, 0.000, 0.188)
C (0.000, 0.000, 0.812)
C (0.333, 0.667, 0.478)
C (0.333, 0.667, 0.855)
C (0.667, 0.333, 0.145)
C (0.667, 0.333, 0.522)